Entry 1:
A relaxed Cd3CuGe crystal, computed with PBE.

Results
Volume   142.3 Å³/cell
VASP energy   -8.307 eV/cell
SG   No. 221
Distance to the lowest polymorph of the same formula   231 meV per atom

Cell lengths 5.2203, 5.2203, 5.2203 Å; angles 90.00, 90.00, 90.00 degrees
With the nearest neighbours (Å) after each atom.
Sites, in units of the cell vectors:
Cd: 0.0000 0.5000 0.0000  2 Ge 2.61
Ge: 0.0000 0.0000 0.0000  6 Cd 2.61
Cu: 0.5000 0.5000 0.5000  12 Cd 3.69
Cd: 0.0000 0.0000 0.5000  2 Ge 2.61
Cd: 0.5000 0.0000 0.0000  2 Ge 2.61

***

Entry 2:
A relaxed CdCuGe2 crystal, computed with PBE.

Results
Volume   75.8 Å³/cell
VASP energy   -13.511 eV/cell
SG   No. 166

Cell lengths 2.8926, 2.8926, 10.5947 Å; angles 82.15, 82.15, 60.00 degrees
With the nearest neighbours (Å) after each atom.
Sites, in units of the cell vectors:
Ge: 0.1007 0.1007 0.6979  3 Cu 2.66, 6 Ge 2.89
Ge: 0.8993 0.8993 0.3021  3 Cu 2.66, 6 Ge 2.89
Cd: 0.0000 0.0000 0.0000  6 Cd 2.89, 2 Ge 3.16
Cu: 0.5000 0.5000 0.5000  6 Ge 2.66, 6 Cu 2.89

***

Entry 3:
A relaxed CdCu2Ge2 crystal, computed with PBE.

Results
Volume   168.2 Å³/cell
VASP energy   -34.980 eV/cell
SG   No. 127
Distance to the lowest polymorph of the same formula   4 meV per atom

Cell lengths 7.3763, 7.3763, 3.0916 Å; angles 90.00, 90.00, 90.00 degrees
With the nearest neighbours (Å) after each atom.
Sites, in units of the cell vectors:
Cd: 0.0000 0.0000 0.0000  4 Cu 2.92, 2 Cd 3.09, 8 Ge 3.14
Cu: 0.1239 0.3761 0.0000  1 Cu 2.58, 6 Ge 2.64-2.69
Ge: 0.1708 0.6708 0.5000  6 Cu 2.64-2.69
Cu: 0.3761 0.8761 0.0000  1 Cu 2.58, 6 Ge 2.64-2.69
Ge: 0.6708 0.8292 0.5000  6 Cu 2.64-2.69
Cu: 0.6239 0.1239 0.0000  1 Cu 2.58, 6 Ge 2.64-2.69
Ge: 0.8292 0.3292 0.5000  6 Cu 2.64-2.69
Cd: 0.5000 0.5000 0.0000  4 Cu 2.92, 2 Cd 3.09, 8 Ge 3.14
Cu: 0.8761 0.6239 0.0000  1 Cu 2.58, 6 Ge 2.64-2.69
Ge: 0.3292 0.1708 0.5000  6 Cu 2.64-2.69

***

Entry 4:
A relaxed CdCu9Ge3 crystal, computed with PBE.

Results
Volume   198.8 Å³/cell
VASP energy   -49.399 eV/cell
SG   No. 2

Cell lengths 5.0283, 9.1056, 9.4750 Å; angles 137.26, 95.30, 55.64 degrees
With the nearest neighbours (Å) after each atom.
Sites, in units of the cell vectors:
Cu: 0.7565 0.9988 0.7380  3 Ge 2.44-2.65, 7 Cu 2.47-2.72, 1 Cd 2.66
Cu: 0.2435 0.0012 0.2620  3 Ge 2.44-2.65, 7 Cu 2.47-2.72, 1 Cd 2.66
Cu: 0.0000 0.0000 0.5000  4 Ge 2.51-2.66, 6 Cu 2.58-2.67
Ge: 0.5000 0.0000 0.5000  10 Cu 2.50-2.71
Cu: 0.0000 0.5000 0.5000  2 Ge 2.51, 6 Cu 2.53-2.67
Cd: 0.0000 0.0000 0.0000  6 Cu 2.66-2.85, 2 Ge 2.66
Cu: 0.2233 0.4797 0.2369  5 Cu 2.50-2.72, 2 Ge 2.60-2.67, 1 Cd 2.71
Cu: 0.7228 0.0127 0.2618  5 Cu 2.47-2.58, 3 Ge 2.49-2.72
Ge: 0.5000 0.5000 0.5000  8 Cu 2.49-2.67, 2 Cd 2.66
Cu: 0.7767 0.5203 0.7631  5 Cu 2.50-2.72, 2 Ge 2.60-2.67, 1 Cd 2.71
Ge: 0.5000 0.5000 0.0000  8 Cu 2.44-2.72
Cu: 0.0000 0.5000 0.0000  6 Cu 2.48-2.64, 4 Ge 2.51-2.66
Cu: 0.2772 0.9873 0.7382  5 Cu 2.47-2.58, 3 Ge 2.49-2.72

***

Entry 5:
A relaxed CdCu2Ge crystal, computed with PBE.

Results
Volume   62.5 Å³/cell
VASP energy   -13.152 eV/cell
SG   No. 123
Distance to the lowest polymorph of the same formula   54 meV per atom

Cell lengths 3.7587, 4.0790, 4.0790 Å; angles 90.00, 90.00, 90.00 degrees
With the nearest neighbours (Å) after each atom.
Sites, in units of the cell vectors:
Cu: 0.0000 0.5000 0.0000  4 Ge 2.77, 4 Cd 2.77, 4 Cu 2.88
Cd: 0.5000 0.0000 0.0000  8 Cu 2.77, 4 Ge 2.88
Ge: 0.5000 0.5000 0.5000  8 Cu 2.77, 4 Cd 2.88
Cu: 0.0000 0.0000 0.5000  4 Cd 2.77, 4 Ge 2.77, 4 Cu 2.88

***

Entry 6:
A relaxed CdCu2Ge2 crystal, computed with PBE.

Results
Volume   170.2 Å³/cell
VASP energy   -34.757 eV/cell
SG   No. 127
Distance to the lowest polymorph of the same formula   26 meV per atom

Cell lengths 7.8910, 7.8910, 2.7327 Å; angles 90.00, 90.00, 90.00 degrees
With the nearest neighbours (Å) after each atom.
Sites, in units of the cell vectors:
Ge: 0.3698 0.8698 0.0000  6 Cu 2.66-2.72, 3 Ge 2.73-2.91
Cu: 0.3344 0.1656 0.5000  6 Ge 2.66-2.72, 2 Cu 2.73
Cu: 0.8344 0.3344 0.5000  6 Ge 2.66-2.72, 2 Cu 2.73
Cu: 0.1656 0.6656 0.5000  6 Ge 2.66-2.72, 2 Cu 2.73
Cd: 0.0000 0.0000 0.0000  2 Cd 2.73
Cd: 0.5000 0.5000 0.0000  2 Cd 2.73
Ge: 0.6302 0.1302 0.0000  6 Cu 2.66-2.72, 3 Ge 2.73-2.91
Ge: 0.1302 0.3698 0.0000  6 Cu 2.66-2.72, 3 Ge 2.73-2.91
Cu: 0.6656 0.8344 0.5000  6 Ge 2.66-2.72, 2 Cu 2.73
Ge: 0.8698 0.6302 0.0000  6 Cu 2.66-2.72, 3 Ge 2.73-2.91

***

Entry 7:
A relaxed CdCuGe crystal, computed with PBE.

Results
Volume   318.0 Å³/cell
VASP energy   -55.528 eV/cell
SG   No. 46
Distance to the lowest polymorph of the same formula   23 meV per atom

Cell lengths 6.9638, 7.9507, 7.9507 Å; angles 56.35, 64.03, 64.03 degrees
With the nearest neighbours (Å) after each atom.
Sites, in units of the cell vectors:
Cd: 0.6509 0.0529 0.5529  5 Cu 2.76-2.85, 6 Ge 3.03-3.08
Cu: 0.5893 0.1668 0.1676  3 Ge 2.59-2.60, 6 Cd 2.84-2.87
Ge: 0.2567 0.8670 0.8666  4 Cu 2.59-2.65
Cd: 0.8619 0.2504 0.7504  5 Cu 2.75-2.87, 6 Ge 3.01-3.08
Ge: 0.9903 0.6334 0.6330  4 Cu 2.59-2.65
Cu: 0.2572 0.2501 0.7501  6 Ge 2.64-2.65, 3 Cd 2.75-2.76
Cu: 0.5893 0.6676 0.6668  3 Ge 2.59-2.60, 6 Cd 2.84-2.87
Ge: 0.9903 0.1330 0.1334  4 Cu 2.59-2.65
Cu: 0.9237 0.3324 0.3332  3 Ge 2.59-2.60, 6 Cd 2.84-2.87
Cu: 0.2575 0.7499 0.2499  6 Ge 2.64-2.65, 3 Cd 2.75-2.76
Ge: 0.5247 0.5000 0.5000  4 Cu 2.60-2.64
Cd: 0.2567 0.9471 0.4471  5 Cu 2.76-2.85, 6 Ge 3.03-3.08
Ge: 0.2567 0.3666 0.3670  4 Cu 2.59-2.65
Cd: 0.2566 0.4473 0.9473  5 Cu 2.76-2.85, 6 Ge 3.03-3.09
Cd: 0.6512 0.5527 0.0527  5 Cu 2.76-2.85, 6 Ge 3.03-3.09
Cu: 0.9237 0.8332 0.8324  3 Ge 2.59-2.60, 6 Cd 2.84-2.87
Ge: 0.5247 0.0000 0.0000  4 Cu 2.60-2.64
Cd: 0.8626 0.7496 0.2496  5 Cu 2.75-2.87, 6 Ge 3.01-3.08

***

Entry 8:
A relaxed Cd3CuGe crystal, computed with PBE.

Results
Volume   121.2 Å³/cell
VASP energy   -9.460 eV/cell
SG   No. 221
Distance to the lowest polymorph of the same formula   0 meV per atom

Cell lengths 4.9486, 4.9486, 4.9486 Å; angles 90.00, 90.00, 90.00 degrees
With the nearest neighbours (Å) after each atom.
Sites, in units of the cell vectors:
Cu: 0.0000 0.0000 0.0000  6 Cd 2.47
Cd: 0.0000 0.5000 0.0000  2 Cu 2.47
Cd: 0.0000 0.0000 0.5000  2 Cu 2.47
Cd: 0.5000 0.0000 0.0000  2 Cu 2.47
Ge: 0.5000 0.5000 0.5000  12 Cd 3.50

***

Entry 9:
A relaxed CdCu2Ge2 crystal, computed with PBE.

Results
Volume   86.1 Å³/cell
VASP energy   -17.484 eV/cell
SG   No. 139
Distance to the lowest polymorph of the same formula   5 meV per atom

Cell lengths 3.7984, 3.7984, 6.5471 Å; angles 73.14, 73.14, 90.00 degrees
With the nearest neighbours (Å) after each atom.
Sites, in units of the cell vectors:
Ge: 0.7500 0.2500 0.5000  4 Cu 2.59, 4 Ge 2.69
Cu: 0.3972 0.3972 0.2056  1 Cu 2.45, 4 Ge 2.59
Ge: 0.2500 0.7500 0.5000  4 Cu 2.59, 4 Ge 2.69
Cu: 0.6028 0.6028 0.7944  1 Cu 2.45, 4 Ge 2.59
Cd: 0.0000 0.0000 0.0000  8 Cu 2.95

***

Entry 10:
A relaxed Cd2CuGeH crystal, computed with PBE.

Results
Volume   90.4 Å³/cell
VASP energy   -12.475 eV/cell
SG   No. 123

Cell lengths 5.4158, 3.0831, 5.4158 Å; angles 90.00, 90.00, 90.00 degrees
With the nearest neighbours (Å) after each atom.
Sites, in units of the cell vectors:
Ge: 0.5000 0.5000 0.5000  2 Ge 3.08, 8 Cd 3.12
H: 0.0000 0.5000 0.0000  2 Cu 1.54
Cd: 0.0000 0.0000 0.5000  2 Cu 2.71
Cu: 0.0000 0.0000 0.0000  2 H 1.54
Cd: 0.5000 0.0000 0.0000  2 Cu 2.71

***

Entry 11:
A relaxed KCd2CuGe crystal, computed with PBE.

Results
Volume   128.8 Å³/cell
VASP energy   -11.184 eV/cell
SG   No. 123

Cell lengths 5.1858, 5.1858, 4.7895 Å; angles 90.00, 90.00, 90.00 degrees
With the nearest neighbours (Å) after each atom.
Sites, in units of the cell vectors:
Cd: 0.0000 0.5000 0.0000  2 Cu 2.59
Ge: 0.0000 0.0000 0.5000  2 Cu 2.39
Cd: 0.5000 0.0000 0.0000  2 Cu 2.59
Cu: 0.0000 0.0000 0.0000  2 Ge 2.39, 4 Cd 2.59
K: 0.5000 0.5000 0.5000  8 Cd 3.53, 4 Ge 3.67

***

Entry 12:
A relaxed La2CdCu4Ge3 crystal, computed with PBE.

Results
Volume   191.2 Å³/cell
VASP energy   -45.661 eV/cell
SG   No. 115

Cell lengths 4.2835, 4.2835, 10.4192 Å; angles 90.00, 90.00, 90.00 degrees
With the nearest neighbours (Å) after each atom.
Sites, in units of the cell vectors:
Cu: 0.5000 0.0000 0.6429  3 Ge 2.41-2.61, 2 Cd 2.61
Cu: 0.0000 0.5000 0.3571  3 Ge 2.41-2.61, 2 Cd 2.61
Cu: 0.5000 0.5000 0.0000  4 Ge 2.51
La: 0.5000 0.0000 0.2331  6 Ge 3.23-3.51, 8 Cu 3.24-3.29, 2 Cd 3.51
Ge: 0.0000 0.5000 0.1263  5 Cu 2.41-2.51
Ge: 0.5000 0.0000 0.8737  5 Cu 2.41-2.51
Cu: 0.0000 0.0000 0.0000  4 Ge 2.51
Cd: 0.5000 0.5000 0.5000  4 Cu 2.61
Ge: 0.0000 0.0000 0.5000  4 Cu 2.61
La: 0.0000 0.5000 0.7669  6 Ge 3.23-3.51, 8 Cu 3.24-3.29, 2 Cd 3.51